This record from Alexandria describes a relaxed structure of Tl2CdSnTe4. The functional is PBE.

Output
* calculated density: 7.0 g/cm3
* space-group type: I-42m (121)
* offset from the most stable computed form: 0.000 eV/atom
* uncorrected formation energy: -0.31 eV/atom
* total magnetic moment: 0.00 Bohr magnetons per cell
* calculated volume: 34.122 Å³ per atom

```
data_Tl2CdSnTe4
_cell_length_a 8.651
_cell_length_b 8.651
_cell_length_c 7.296
_cell_angle_alpha 90.00
_cell_angle_beta 90.00
_cell_angle_gamma 90.00
_space_group_name_H-M_alt 'P 1'
_space_group_IT_number 1
loop_
_space_group_symop_operation_xyz
'x,y,z'
loop_
_atom_site_label
_atom_site_type_symbol
_atom_site_fract_x
_atom_site_fract_y
_atom_site_fract_z
Tl1 Tl 0.000 0.500 0.000
Tl2 Tl 0.000 0.500 0.500
Tl3 Tl 0.500 0.000 0.000
Tl4 Tl 0.500 0.000 0.500
Cd1 Cd 0.000 0.000 0.000
Cd2 Cd 0.500 0.500 0.500
Sn1 Sn 0.000 0.000 0.500
Sn2 Sn 0.500 0.500 0.000
Te1 Te 0.180 0.180 0.260
Te2 Te 0.180 0.820 0.740
Te3 Te 0.320 0.320 0.760
Te4 Te 0.320 0.680 0.240
Te5 Te 0.680 0.320 0.240
Te6 Te 0.680 0.680 0.760
Te7 Te 0.820 0.180 0.740
Te8 Te 0.820 0.820 0.260
```

---

This record from Alexandria describes a relaxed structure of Tl2CdSnTe. The functional is PBE.

Output
* calculated density: 7.0 g/cm3
* space-group type: P4/mmm (123)
* uncorrected formation energy: 0.18 eV/atom
* total magnetic moment: 0.00 Bohr magnetons per cell
* calculated volume: 36.639 Å³ per atom

```
data_Tl2CdSnTe
_cell_length_a 5.808
_cell_length_b 5.808
_cell_length_c 5.431
_cell_angle_alpha 90.00
_cell_angle_beta 90.00
_cell_angle_gamma 90.00
_space_group_name_H-M_alt 'P 1'
_space_group_IT_number 1
loop_
_space_group_symop_operation_xyz
'x,y,z'
loop_
_atom_site_label
_atom_site_type_symbol
_atom_site_fract_x
_atom_site_fract_y
_atom_site_fract_z
Tl1 Tl 0.000 0.500 0.000
Tl2 Tl 0.500 0.000 0.000
Cd1 Cd 0.000 0.000 0.500
Sn1 Sn 0.000 0.000 0.000
Te1 Te 0.500 0.500 0.500
```

---

This record from Alexandria describes a relaxed structure of Tl2CdSnTe4. The functional is PBE.

Output
* calculated density: 5.6 g/cm3
* space-group type: Pmn2_1 (31)
* offset from the most stable computed form: 0.054 eV/atom
* uncorrected formation energy: -0.25 eV/atom
* total magnetic moment: 0.00 Bohr magnetons per cell
* calculated volume: 42.363 Å³ per atom

```
data_Tl2CdSnTe4
_cell_length_a 9.025
_cell_length_b 10.328
_cell_length_c 7.272
_cell_angle_alpha 90.00
_cell_angle_beta 90.00
_cell_angle_gamma 90.00
_space_group_name_H-M_alt 'P 1'
_space_group_IT_number 1
loop_
_space_group_symop_operation_xyz
'x,y,z'
loop_
_atom_site_label
_atom_site_type_symbol
_atom_site_fract_x
_atom_site_fract_y
_atom_site_fract_z
Tl1 Tl 0.232 0.160 0.000
Tl2 Tl 0.268 0.840 0.500
Tl3 Tl 0.732 0.840 0.500
Tl4 Tl 0.768 0.160 0.000
Cd1 Cd 0.000 0.369 0.456
Cd2 Cd 0.500 0.631 0.956
Sn1 Sn 0.000 0.650 0.939
Sn2 Sn 0.500 0.350 0.439
Te1 Te 0.000 0.395 0.060
Te2 Te 0.000 0.637 0.555
Te3 Te 0.249 0.795 0.042
Te4 Te 0.251 0.205 0.542
Te5 Te 0.500 0.363 0.055
Te6 Te 0.500 0.605 0.560
Te7 Te 0.749 0.205 0.542
Te8 Te 0.751 0.795 0.042
```

---

This record from Alexandria describes a relaxed structure of ThCdSn. The functional is PBE.

Output
* calculated density: 8.3 g/cm3
* space-group type: I4mm (107)
* total magnetic moment: 0.00 Bohr magnetons per cell
* formation energy from the elements: 0.069 eV per atom
* calculated volume: 31.073 Å³ per atom

```
data_ThCdSn
_cell_length_a 3.298
_cell_length_b 3.298
_cell_length_c 17.142
_cell_angle_alpha 90.00
_cell_angle_beta 90.00
_cell_angle_gamma 90.00
_space_group_name_H-M_alt 'P 1'
_space_group_IT_number 1
loop_
_space_group_symop_operation_xyz
'x,y,z'
loop_
_atom_site_label
_atom_site_type_symbol
_atom_site_fract_x
_atom_site_fract_y
_atom_site_fract_z
Th1 Th 0.000 0.000 0.000
Th2 Th 0.500 0.500 0.500
Cd1 Cd 0.000 0.000 0.812
Cd2 Cd 0.500 0.500 0.312
Sn1 Sn 0.000 0.000 0.641
Sn2 Sn 0.500 0.500 0.141
```

---

This record from Alexandria describes a relaxed structure of Th3Cd4Sn2. The functional is PBE.

Output
* calculated density: 9.6 g/cm3
* space-group type: C2/m (12)
* total magnetic moment: 0.00 Bohr magnetons per cell
* formation energy from the elements: -0.320 eV per atom
* calculated volume: 26.652 Å³ per atom

```
data_Th3Cd4Sn2
_cell_length_a 6.244
_cell_length_b 6.244
_cell_length_c 9.355
_cell_angle_alpha 112.90
_cell_angle_beta 112.90
_cell_angle_gamma 46.56
_space_group_name_H-M_alt 'P 1'
_space_group_IT_number 1
loop_
_space_group_symop_operation_xyz
'x,y,z'
loop_
_atom_site_label
_atom_site_type_symbol
_atom_site_fract_x
_atom_site_fract_y
_atom_site_fract_z
Th1 Th 0.000 0.000 0.000
Th2 Th 0.325 0.325 0.342
Th3 Th 0.675 0.675 0.658
Cd1 Cd 0.019 0.019 0.361
Cd2 Cd 0.257 0.257 0.930
Cd3 Cd 0.743 0.743 0.070
Cd4 Cd 0.981 0.981 0.639
Sn1 Sn 0.391 0.391 0.724
Sn2 Sn 0.609 0.609 0.276
```

---

This record from Alexandria describes a relaxed structure of Th2Cd3Sn3. The functional is PBE.

Output
* calculated density: 9.2 g/cm3
* space-group type: Pmmm (47)
* total magnetic moment: 0.00 Bohr magnetons per cell
* formation energy from the elements: -0.363 eV per atom
* calculated volume: 26.234 Å³ per atom

```
data_Th2Cd3Sn3
_cell_length_a 4.733
_cell_length_b 4.855
_cell_length_c 9.134
_cell_angle_alpha 90.00
_cell_angle_beta 90.00
_cell_angle_gamma 90.00
_space_group_name_H-M_alt 'P 1'
_space_group_IT_number 1
loop_
_space_group_symop_operation_xyz
'x,y,z'
loop_
_atom_site_label
_atom_site_type_symbol
_atom_site_fract_x
_atom_site_fract_y
_atom_site_fract_z
Th1 Th 0.000 0.000 0.244
Th2 Th 0.000 0.000 0.756
Cd1 Cd 0.000 0.500 0.500
Cd2 Cd 0.500 0.500 0.259
Cd3 Cd 0.500 0.500 0.741
Sn1 Sn 0.000 0.500 0.000
Sn2 Sn 0.500 0.000 0.000
Sn3 Sn 0.500 0.000 0.500
```

---

Question: The highest calculated density belongs to which entry?
Answer: Th3Cd4Sn2

---

Question: Look up the calculated density of the first one.
Answer: 7.0 g/cm3

---

Question: Number 4 is which compound?
Answer: ThCdSn

---

Question: What is the total magnetic moment in the first record?
Answer: 0.00 Bohr magnetons per cell